Model w:
# Nd2Ho4Mg

An optimized crystal structure of Nd2Ho4Mg (GGA-PBE, the Alexandria database).

Unit cell a=8.2288 b=8.2288 c=6.7089 alpha=127.83 beta=127.83 gamma=90.00
Each line ends with the local moment (μB).
Positions (direct):
Nd 0.2500 0.7500 0.5000  0.04
Nd 0.7500 0.2500 0.5000  0.04
Ho 0.1286 0.1286 0.8527  0.15
Ho 0.8714 0.2760 0.1473  0.15
Ho 0.7240 0.7240 0.8527  0.15
Ho 0.2760 0.8714 0.1473  0.15
Mg 0.5000 0.5000 0.0000  0.00

total magnetization	0.148	μB/atom
volume	32.304	Å³ per atom



Model x:
# Nd2Ho4Mg

An optimized crystal structure of Nd2Ho4Mg (GGA-PBE, the Alexandria database).

Unit cell a=11.6671 b=6.5157 c=7.0931 alpha=124.28 beta=90.00 gamma=90.00
Positions (direct):
Nd 0.5001 0.1285 0.3251
Nd 0.9999 0.6284 0.3250
Nd 0.4999 0.8715 0.6749
Nd 0.0001 0.3716 0.6750
Ho 0.7885 0.0255 0.7435
Ho 0.7115 0.5255 0.7436
Ho 0.2886 0.5233 0.7421
Ho 0.2115 0.9745 0.2565
Ho 0.7114 0.4767 0.2579
Ho 0.2885 0.4745 0.2564
Ho 0.2114 0.0232 0.7420
Ho 0.7886 0.9768 0.2580
Mg 0.0000 0.0000 0.0000
Mg 0.5000 0.5000 0.0000

total magnetization	0.000	μB/atom
volume	31.824	Å³ per atom



Most stable: model x